VASP calculation (GGA-PBE) on Nd4In2O after structural relaxation.

## Properties
- size of the total moment (μB per cell) = 0.00
- energy relative to the lowest polymorph listed for this composition (eV per atom) = 0.000
- space group = I4/mmm, No. 139
- energy relative to the elements, uncorrected (eV per atom) = -1.05
- VASP energy (eV/atom) = -5.2646

```
data_Nd4In2O
_chemical_formula_sum 'Nd8 In4 O2'
_cell_length_a 4.842
_cell_length_b 4.842
_cell_length_c 16.923
_cell_angle_alpha 90.00
_cell_angle_beta 90.00
_cell_angle_gamma 90.00
_symmetry_space_group_name_H-M 'P 1'
_symmetry_Int_Tables_number 1
_symmetry_space_group_name_Hall 'P 1'
loop_
_atom_site_label
_atom_site_fract_x
_atom_site_fract_y
_atom_site_fract_z
Nd1 0.000 0.000 0.172
Nd2 0.000 0.000 0.828
Nd3 0.000 0.500 0.000
Nd4 0.000 0.500 0.500
Nd5 0.500 0.000 0.000
Nd6 0.500 0.000 0.500
Nd7 0.500 0.500 0.328
Nd8 0.500 0.500 0.672
In1 0.000 0.000 0.362
In2 0.000 0.000 0.638
In3 0.500 0.500 0.138
In4 0.500 0.500 0.862
O1 0.000 0.000 0.000
O2 0.500 0.500 0.500
```